PuCoB4: optimized geometry, PBE-GGA.

The space-group type is Cmmm, No. 65. Its calculated formation energy is -2.9 eV/f.u. The calculated total energy comes out at -8.515 eV/atom.

Geometry as POSCAR:
```
PuCoB4
1.0
3.642 -4.667 0.000
3.642 4.667 0.000
0.000 0.000 3.351
Pu Co B
2 2 8
Direct
0.200 0.800 0.000
0.800 0.200 0.000
0.324 0.324 0.000
0.676 0.676 0.000
0.121 0.431 0.500
0.128 0.128 0.500
0.409 0.591 0.500
0.431 0.121 0.500
0.569 0.879 0.500
0.591 0.409 0.500
0.872 0.872 0.500
0.879 0.569 0.500
```